[1]
An optimized crystal structure of K2In2Sb3, computed with PBEsol.

abc: 7.5283 15.2616 16.7132
angles: 90.50 90.00 90.00
Closest atoms and distances in Å follow each position.
Fractional coordinates of all 56 atoms:
K1 0.0542 0.4424 0.8960  3 Sb 3.39-3.55, 2 In 3.54-3.57
K2 0.5352 0.0770 0.8864  2 In 3.48-3.60, 5 Sb 3.61-3.76
K3 0.9494 0.3459 0.4770  6 Sb 3.47-3.87, 1 In 3.75
K4 0.9656 0.8577 0.0081  6 Sb 3.48-3.64, 1 In 3.69
K5 0.5344 0.8577 0.5081  6 Sb 3.48-3.64, 1 In 3.69
K6 0.0344 0.1423 0.9919  6 Sb 3.48-3.64, 1 In 3.69
K7 0.0352 0.9230 0.6136  2 In 3.48-3.60, 5 Sb 3.61-3.76
K8 0.9648 0.0770 0.3864  2 In 3.48-3.60, 5 Sb 3.61-3.76
K9 0.5542 0.5576 0.6040  3 Sb 3.39-3.55, 2 In 3.54-3.57
K10 0.9458 0.5576 0.1040  3 Sb 3.39-3.55, 2 In 3.54-3.57
K11 0.4648 0.9230 0.1136  2 In 3.48-3.60, 5 Sb 3.61-3.76
K12 0.4458 0.4424 0.3960  3 Sb 3.39-3.55, 2 In 3.54-3.57
K13 0.4494 0.6541 0.0230  6 Sb 3.47-3.87, 1 In 3.75
K14 0.4656 0.1423 0.4919  6 Sb 3.48-3.64, 1 In 3.69
K15 0.0506 0.6541 0.5230  6 Sb 3.47-3.87, 1 In 3.75
K16 0.5506 0.3459 0.9770  6 Sb 3.47-3.87, 1 In 3.75
Sb1 0.2821 0.2511 0.3227  2 In 2.85-2.87, 1 Sb 2.87
Sb2 0.0282 0.4790 0.6572  3 In 2.86-2.87
Sb3 0.5282 0.5210 0.8428  3 In 2.86-2.87
Sb4 0.2179 0.2511 0.8227  2 In 2.85-2.87, 1 Sb 2.87
Sb5 0.0647 0.6672 0.8981  3 In 2.81-2.91
Sb6 0.5647 0.3328 0.6019  3 In 2.81-2.91
Sb7 0.1634 0.7511 0.1719  1 Sb 2.87, 2 In 2.88-2.92
Sb8 0.9718 0.5210 0.3428  3 In 2.86-2.87
Sb9 0.4718 0.4790 0.1572  3 In 2.86-2.87
Sb10 0.4353 0.6672 0.3981  3 In 2.81-2.91
Sb11 0.0548 0.1612 0.5866  3 In 2.82-2.96
Sb12 0.7179 0.7489 0.6773  2 In 2.85-2.87, 1 Sb 2.87
Sb13 0.4452 0.1612 0.0866  3 In 2.82-2.96
Sb14 0.3366 0.7511 0.6719  1 Sb 2.87, 2 In 2.88-2.92
Sb15 0.5353 0.0228 0.6667  3 In 2.84-2.86
Sb16 0.9353 0.3328 0.1019  3 In 2.81-2.91
Sb17 0.9452 0.8388 0.4134  3 In 2.82-2.96
Sb18 0.5548 0.8388 0.9134  3 In 2.82-2.96
Sb19 0.9647 0.0228 0.1667  3 In 2.84-2.86
Sb20 0.7821 0.7489 0.1773  2 In 2.85-2.87, 1 Sb 2.87
Sb21 0.8366 0.2489 0.8281  1 Sb 2.87, 2 In 2.88-2.92
Sb22 0.0353 0.9772 0.8333  3 In 2.84-2.86
Sb23 0.6634 0.2489 0.3281  1 Sb 2.87, 2 In 2.88-2.92
Sb24 0.4647 0.9772 0.3333  3 In 2.84-2.86
In1 0.2183 0.3167 0.6634  4 Sb 2.81-2.96
In2 0.7361 0.1816 0.6730  4 Sb 2.82-2.91
In3 0.7639 0.1816 0.1730  4 Sb 2.82-2.91
In4 0.7817 0.6833 0.3366  4 Sb 2.81-2.96
In5 0.2668 0.5935 0.2583  4 Sb 2.86-2.92
In6 0.7133 0.9067 0.7717  4 Sb 2.84-2.87
In7 0.2361 0.8184 0.8270  4 Sb 2.82-2.91
In8 0.2332 0.5935 0.7583  4 Sb 2.86-2.92
In9 0.2867 0.0933 0.2283  4 Sb 2.84-2.87
In10 0.2133 0.0933 0.7283  4 Sb 2.84-2.87
In11 0.2817 0.3167 0.1634  4 Sb 2.81-2.96
In12 0.7668 0.4065 0.2417  4 Sb 2.86-2.92
In13 0.7867 0.9067 0.2717  4 Sb 2.84-2.87
In14 0.2639 0.8184 0.3270  4 Sb 2.82-2.91
In15 0.7183 0.6833 0.8366  4 Sb 2.81-2.96
In16 0.7332 0.4065 0.7417  4 Sb 2.86-2.92

Properties
formation energy without anion corrections = -0.342 eV/atom
volume = 34.29 Å³ per atom
total moment = 0.000 Bohr magnetons per cell
electronic total energy = -24.30 eV/f.u.

[2]
An optimized crystal structure of AgHgPt, computed with PBEsol.

abc: 2.9201 4.0527 4.9787
angles: 114.02 107.05 90.00
Closest atoms and distances in Å follow each position.
Fractional coordinates of all 3 atoms:
Pt1 0.3341 0.3341 0.6682  5 Ag 2.87-2.90, 5 Hg 2.88, 2 Pt 2.92
Hg1 0.6687 0.6687 0.3374  5 Ag 2.83-2.90, 5 Pt 2.88, 2 Hg 2.92
Ag1 0.9972 0.9972 0.9944  5 Hg 2.83-2.90, 5 Pt 2.87-2.90, 2 Ag 2.92

Properties
volume = 16.99 Å³ per atom
total moment = 0.000 Bohr magnetons per cell
electronic total energy = -10.84 eV/f.u.
formation enthalpy at 0 K = 0.004 eV/f.u.